Entry from the Alexandria database: a geometry-optimized Sm2TeSe2 structure (PBE-GGA).

Cell: 5.3952 7.9415 8.4722 Å, 83.89 71.45 70.24°
Atoms (fractional coordinates):
Sm1 0.0063 0.4878 0.2498
Sm2 0.2431 0.0121 0.2496
Sm3 0.7569 0.9879 0.7504
Sm4 0.9937 0.5122 0.7502
Te1 0.3750 0.7501 0.7506
Te2 0.6250 0.2499 0.2494
Se1 0.0275 0.7500 0.4455
Se2 0.2774 0.2500 0.9446
Se3 0.7226 0.7500 0.0554
Se4 0.9725 0.2500 0.5545

final energy = -5.334 eV/atom
SG = P-1
distance to the lowest polymorph of the same formula = 0.156 eV per atom
formation energy (no corrections) = -1.42 eV per atom


Entry from the Alexandria database: a geometry-optimized Sm2TeSe2 structure (PBE-GGA).

Cell: 5.9188 4.5000 11.8370 Å, 90.00 102.19 90.00°
Atoms (fractional coordinates):
Sm1 0.1046 0.2500 0.1757
Sm2 0.2873 0.2500 0.5908
Sm3 0.7127 0.7500 0.4092
Sm4 0.8954 0.7500 0.8243
Te1 0.2756 0.7500 0.0486
Te2 0.7244 0.2500 0.9514
Se1 0.2107 0.7500 0.4016
Se2 0.3356 0.7500 0.7374
Se3 0.6644 0.2500 0.2626
Se4 0.7893 0.2500 0.5984

final energy = -5.490 eV/atom
SG = P2_1/m
distance to the lowest polymorph of the same formula = 0.000 eV per atom
formation energy (no corrections) = -1.58 eV per atom


Entry from the Alexandria database: a geometry-optimized SmTeSe structure (PBE-GGA).

Cell: 4.9460 4.9460 7.8345 Å, 90.00 90.00 90.00°
Atoms (fractional coordinates):
Sm1 0.2500 0.2500 0.1905
Sm2 0.7500 0.7500 0.8095
Te1 0.2500 0.7500 0.5000
Te2 0.7500 0.2500 0.5000
Se1 0.2500 0.7500 0.0000
Se2 0.7500 0.2500 0.0000

final energy = -5.114 eV/atom
SG = P4/nmm
distance to the lowest polymorph of the same formula = 0.117 eV per atom
formation energy (no corrections) = -1.33 eV per atom


Entry from the Alexandria database: a geometry-optimized SmTeSe structure (PBE-GGA).

Cell: 7.9313 7.9313 7.9313 Å, 148.40 137.06 54.28°
Atoms (fractional coordinates):
Sm1 0.1542 0.1542 0.0000
Sm2 0.8458 0.8458 0.0000
Te1 0.2519 0.5000 0.7519
Te2 0.7481 0.5000 0.2481
Se1 0.2882 0.7882 0.5000
Se2 0.7118 0.2118 0.5000

final energy = -5.230 eV/atom
SG = Immm
distance to the lowest polymorph of the same formula = 0.000 eV per atom
formation energy (no corrections) = -1.45 eV per atom